{
  "formula": "CsSmC2O6",
  "functional": "GGA-PBE",
  "state": "optimized geometry",
  "total_energy_ev_per_atom": -7.503,
  "sg": "C2/c",
  "cell": [[-3.4171, 2.2346, -5.2070], [4.5233, -2.8618, -3.8901], [-4.1281, -5.7297, 2.7171]],
  "species": ["Cs", "Cs", "Sm", "Sm", "C", "C", "C", "C", "O", "O", "O", "O", "O", "O", "O", "O", "O", "O", "O", "O"],
  "frac_coords": [[0.1022, 0.8978, 0.2500], [0.8978, 0.1022, 0.7500], [0.5939, 0.4061, 0.2500], [0.4061, 0.5939, 0.7500], [0.4053, 0.1515, 0.7627], [0.8485, 0.5947, 0.7373], [0.5947, 0.8485, 0.2373], [0.1515, 0.4053, 0.2627], [0.9557, 0.3997, 0.2545], [0.6003, 0.0443, 0.2455], [0.0443, 0.6003, 0.7455], [0.3997, 0.9557, 0.7545], [0.2203, 0.2880, 0.1296], [0.7120, 0.7797, 0.3704], [0.7797, 0.7120, 0.8704], [0.2880, 0.2203, 0.6296], [0.2966, 0.5329, 0.4058], [0.4671, 0.7034, 0.0942], [0.7034, 0.4671, 0.5942], [0.5329, 0.2966, 0.9058]]
}


{
  "formula": "V2Ir3Rh4",
  "functional": "GGA-PBE",
  "state": "optimized geometry",
  "ef_mev_per_atom": -311.1,
  "sg": "P-1",
  "cell": [[4.6755, 0.5814, 0.1611], [1.2039, 7.9112, 2.6710], [-0.1575, 0.0128, 6.9870]],
  "species": ["V", "V", "V", "V", "Ir", "Ir", "Ir", "Ir", "Ir", "Ir", "Rh", "Rh", "Rh", "Rh", "Rh", "Rh", "Rh", "Rh"],
  "frac_coords": [[0.2103, 0.7365, 0.4670], [0.3267, 0.5008, 0.2387], [0.7897, 0.2635, 0.5330], [0.6733, 0.4992, 0.7613], [0.1127, 0.9470, 0.6916], [0.4438, 0.2849, 0.0201], [0.8873, 0.0530, 0.3084], [0.5562, 0.7151, 0.9799], [0.2400, 0.3998, 0.6257], [0.7600, 0.6002, 0.3743], [0.5535, 0.0584, 0.7985], [0.9926, 0.1796, 0.9084], [0.4465, 0.9416, 0.2015], [0.0074, 0.8204, 0.0916], [0.6640, 0.8218, 0.5913], [0.8820, 0.3873, 0.1460], [0.3360, 0.1782, 0.4087], [0.1180, 0.6127, 0.8540]]
}


{
  "formula": "ZnTcNi2",
  "functional": "GGA-PBE",
  "state": "optimized geometry",
  "ef_mev_per_atom": 35.9,
  "sg": "C2/m",
  "cell": [[-3.7849, 1.5654, 1.6825], [-3.1291, -0.4767, 3.0965], [1.9070, 2.8256, 3.1961]],
  "species": ["Ni", "Ni", "Tc", "Zn"],
  "frac_coords": [[0.0001, 0.0001, 0.0100], [0.4999, 0.4999, 0.4900], [0.2500, 0.2500, 0.2500], [0.7500, 0.7500, 0.7500]]
}


{
  "formula": "Y2HCl",
  "functional": "GGA-PBE",
  "state": "optimized geometry",
  "relative_energy_mev_per_atom": 169.5,
  "sg": "I-42d",
  "cell": [[-1.3131, -3.6358, 4.8767], [-0.4545, -4.9165, -3.7878], [3.5255, -5.1160, 1.1055]],
  "species": ["Y", "Y", "Y", "Y", "H", "H", "Cl", "Cl"],
  "frac_coords": [[0.5617, 0.1250, 0.2500], [0.1883, 0.6250, 0.2500], [0.3750, 0.4383, 0.7500], [0.8750, 0.8117, 0.7500], [0.5000, 0.5000, 0.0000], [0.2500, 0.7500, 0.5000], [0.0000, 0.0000, 0.0000], [0.7500, 0.2500, 0.5000]]
}


{
  "formula": "CuBiH2Rh",
  "functional": "GGA-PBE",
  "state": "optimized geometry",
  "total_energy_ev_per_atom": -3.669,
  "sg": "P4/mmm",
  "cell": [[-1.6791, -1.1363, 3.2122], [-3.8050, -2.6158, -2.9144], [2.1454, -3.1346, 0.0126]],
  "species": ["H", "H", "Rh", "Bi", "Cu"],
  "frac_coords": [[0.0000, 0.0000, 0.5000], [0.5000, 0.0000, 0.0000], [0.0000, 0.5000, 0.0000], [0.0000, 0.0000, 0.0000], [0.5000, 0.5000, 0.5000]]
}


{
  "formula": "YBeIn",
  "functional": "GGA-PBE",
  "state": "optimized geometry",
  "relative_energy_mev_per_atom": 25.6,
  "ef_mev_per_atom": -242.2,
  "sg": "Pmma",
  "cell": [[4.1929, 0.0000, 0.0000], [0.0000, 7.0555, 0.0000], [0.0000, 0.0000, 12.4783]],
  "species": ["Y", "Y", "Y", "Y", "Y", "Y", "Be", "Be", "Be", "Be", "Be", "Be", "In", "In", "In", "In", "In", "In"],
  "frac_coords": [[0.0000, 0.2305, 0.9569], [0.0000, 0.7695, 0.0431], [0.0000, 0.2305, 0.5431], [0.0000, 0.7695, 0.4569], [0.0000, 0.1420, 0.2500], [0.0000, 0.8580, 0.7500], [0.5000, 0.0483, 0.0838], [0.5000, 0.9517, 0.9162], [0.5000, 0.0483, 0.4162], [0.5000, 0.9517, 0.5838], [0.0000, 0.5620, 0.2500], [0.0000, 0.4380, 0.7500], [0.5000, 0.4219, 0.1238], [0.5000, 0.5781, 0.8762], [0.5000, 0.4219, 0.3762], [0.5000, 0.5781, 0.6238], [0.5000, 0.8081, 0.2500], [0.5000, 0.1919, 0.7500]]
}


no.,M_tot (μB/f.u.)
1,0.0
2,0.0
3,0.0
4,0.0
5,0.0
6,0.0